Entry 1:
An optimized crystal structure of Tl9HgBi4. Source: Alexandria, functional PBE.

a = 9.8482 Å, b = 9.8482 Å, c = 11.1776 Å
α = 90.00°, β = 90.00°, γ = 120.00°
With the nearest neighbours (Å) after each atom.
Element x y z (fractional)
1 Tl 0.0592 0.5296 0.2500  2 Bi 3.29, 1 Hg 3.35
2 Tl 0.2046 0.4092 0.5331  1 Hg 3.27, 2 Bi 3.51-3.53, 2 Tl 3.57
3 Tl 0.2046 0.4092 0.9669  1 Hg 3.27, 2 Bi 3.51-3.53, 2 Tl 3.57
4 Tl 0.2046 0.7954 0.5331  1 Hg 3.27, 2 Bi 3.51-3.53, 2 Tl 3.57
5 Tl 0.2046 0.7954 0.9669  1 Hg 3.27, 2 Bi 3.51-3.53, 2 Tl 3.57
6 Tl 0.4092 0.2046 0.0331  1 Hg 3.27, 2 Bi 3.51-3.53, 2 Tl 3.57
7 Tl 0.4092 0.2046 0.4669  1 Hg 3.27, 2 Bi 3.51-3.53, 2 Tl 3.57
8 Tl 0.4704 0.5296 0.2500  2 Bi 3.29, 1 Hg 3.35
9 Tl 0.4704 0.9408 0.2500  2 Bi 3.29, 1 Hg 3.35
10 Tl 0.5296 0.0592 0.7500  2 Bi 3.29, 1 Hg 3.35
11 Tl 0.5296 0.4704 0.7500  2 Bi 3.29, 1 Hg 3.35
12 Tl 0.5908 0.7954 0.5331  1 Hg 3.27, 2 Bi 3.51-3.53, 2 Tl 3.57
13 Tl 0.5908 0.7954 0.9669  1 Hg 3.27, 2 Bi 3.51-3.53, 2 Tl 3.57
14 Tl 0.7954 0.2046 0.0331  1 Hg 3.27, 2 Bi 3.51-3.53, 2 Tl 3.57
15 Tl 0.7954 0.2046 0.4669  1 Hg 3.27, 2 Bi 3.51-3.53, 2 Tl 3.57
16 Tl 0.7954 0.5908 0.0331  1 Hg 3.27, 2 Bi 3.51-3.53, 2 Tl 3.57
17 Tl 0.7954 0.5908 0.4669  1 Hg 3.27, 2 Bi 3.51-3.53, 2 Tl 3.57
18 Tl 0.9408 0.4704 0.7500  2 Bi 3.29, 1 Hg 3.35
19 Hg 0.3333 0.6667 0.7500  9 Tl 3.27-3.35
20 Hg 0.6667 0.3333 0.2500  9 Tl 3.27-3.35
21 Bi 0.0000 0.0000 0.0000  6 Bi 3.40, 6 Tl 3.51
22 Bi 0.0000 0.0000 0.5000  6 Bi 3.40, 6 Tl 3.51
23 Bi 0.1131 0.2262 0.2500  4 Tl 3.29-3.53, 4 Bi 3.34-3.40
24 Bi 0.1131 0.8869 0.2500  4 Tl 3.29-3.53, 4 Bi 3.34-3.40
25 Bi 0.2262 0.1131 0.7500  4 Tl 3.29-3.53, 4 Bi 3.34-3.40
26 Bi 0.7738 0.8869 0.2500  4 Tl 3.29-3.53, 4 Bi 3.34-3.40
27 Bi 0.8869 0.1131 0.7500  4 Tl 3.29-3.53, 4 Bi 3.34-3.40
28 Bi 0.8869 0.7738 0.7500  4 Tl 3.29-3.53, 4 Bi 3.34-3.40

Summary:
As for the total moment: 0.00 μB/f.u. The value obtained for the energy of formation is 50 meV per atom. As for the space-group type: P6_3/mmc, No. 194.

---

Entry 2:
An optimized crystal structure of TlHg2Bi. Source: Alexandria, functional PBE.

a = 5.6971 Å, b = 5.6971 Å, c = 3.5258 Å
α = 90.00°, β = 90.00°, γ = 90.00°
With the nearest neighbours (Å) after each atom.
Element x y z (fractional)
1 Tl 0.0000 0.0000 0.0000  8 Hg 3.35, 2 Tl 3.53
2 Hg 0.0000 0.5000 0.5000  4 Tl 3.35, 4 Bi 3.35, 2 Hg 3.53
3 Hg 0.5000 0.0000 0.5000  4 Tl 3.35, 4 Bi 3.35, 2 Hg 3.53
4 Bi 0.5000 0.5000 0.0000  8 Hg 3.35, 2 Bi 3.53

Summary:
As for the total moment: 0.00 μB/f.u. The value obtained for the energy of formation is 37 meV per atom. As for the space-group type: P4/mmm, No. 123.

---

Entry 3:
An optimized crystal structure of Tl7Hg2Bi. Source: Alexandria, functional PBE.

a = 5.4044 Å, b = 5.4044 Å, c = 13.1908 Å
α = 90.00°, β = 90.00°, γ = 120.00°
With the nearest neighbours (Å) after each atom.
Element x y z (fractional)
1 Tl 0.0000 0.0000 0.0000  4 Hg 3.07-3.22, 1 Tl 3.44
2 Tl 0.0000 0.0000 0.2604  8 Tl 3.24-3.50
3 Tl 0.0000 0.0000 0.5261  1 Hg 3.18, 3 Bi 3.41, 1 Tl 3.50
4 Tl 0.3333 0.6667 0.1442  3 Hg 3.31, 6 Tl 3.48-3.65, 1 Bi 3.66
5 Tl 0.3333 0.6667 0.6760  3 Hg 3.34, 1 Bi 3.36, 6 Tl 3.63-3.69
6 Tl 0.6667 0.3333 0.3279  3 Tl 3.24, 3 Bi 3.35, 1 Hg 3.53
7 Tl 0.6667 0.3333 0.8174  4 Hg 3.19-3.20
8 Hg 0.0000 0.0000 0.7670  8 Tl 3.07-3.34
9 Hg 0.6667 0.3333 0.0600  8 Tl 3.20-3.53
10 Bi 0.3333 0.6667 0.4213  8 Tl 3.35-3.66

Summary:
As for the total moment: 0.00 μB/f.u. The value obtained for the energy of formation is 34 meV per atom. As for the space-group type: P3m1, No. 156. The energy above the lowest structure with this stoichiometry is 0.938 kcal/mol of atoms.

---

Entry 4:
An optimized crystal structure of TlHgBi. Source: Alexandria, functional PBE.

a = 7.5864 Å, b = 7.5864 Å, c = 7.5864 Å
α = 153.00°, β = 153.00°, γ = 38.55°
With the nearest neighbours (Å) after each atom.
Element x y z (fractional)
1 Tl 0.0000 0.0000 0.0000  4 Hg 3.44, 4 Bi 3.53, 4 Tl 3.54
2 Hg 0.6648 0.6648 0.0000  4 Bi 3.41, 4 Tl 3.44, 4 Hg 3.54
3 Bi 0.3262 0.3262 0.0000  4 Hg 3.41, 4 Tl 3.53, 4 Bi 3.54

Summary:
As for the total moment: 0.00 μB/f.u. The value obtained for the energy of formation is 32 meV per atom. As for the space-group type: I4mm, No. 107.

---

Entry 5:
An optimized crystal structure of Tl4Hg2Bi. Source: Alexandria, functional PBE.

a = 5.3676 Å, b = 5.3676 Å, c = 9.1860 Å
α = 109.32°, β = 109.32°, γ = 62.86°
With the nearest neighbours (Å) after each atom.
Element x y z (fractional)
1 Tl 0.1353 0.1353 0.4029  3 Hg 3.26-3.28, 1 Bi 3.42, 3 Tl 3.54-3.57
2 Tl 0.2856 0.2856 0.8565  3 Bi 3.36-3.38, 4 Hg 3.36-3.73, 1 Tl 3.66
3 Tl 0.7144 0.7144 0.1435  3 Bi 3.36-3.38, 4 Hg 3.36-3.73, 1 Tl 3.66
4 Tl 0.8647 0.8647 0.5971  3 Hg 3.26-3.28, 1 Bi 3.42, 3 Tl 3.54-3.57
5 Hg 0.4355 0.4355 0.2965  6 Tl 3.26-3.42, 1 Hg 3.46
6 Hg 0.5645 0.5645 0.7035  6 Tl 3.26-3.42, 1 Hg 3.46
7 Bi 0.0000 0.0000 0.0000  8 Tl 3.36-3.42

Summary:
As for the total moment: 0.00 μB/f.u. The value obtained for the energy of formation is -15 meV per atom. As for the space-group type: C2/m, No. 12. The energy above the lowest structure with this stoichiometry is 0.000 kcal/mol of atoms.

---

Entry 6:
An optimized crystal structure of Tl6Hg4Bi. Source: Alexandria, functional PBE.

a = 8.0463 Å, b = 8.0463 Å, c = 8.0463 Å
α = 117.38°, β = 117.38°, γ = 94.61°
With the nearest neighbours (Å) after each atom.
Element x y z (fractional)
1 Tl 0.0000 0.5000 0.5000  4 Hg 3.16
2 Tl 0.0926 0.0926 0.7046  4 Hg 3.01-3.35, 1 Bi 3.33
3 Tl 0.3880 0.3880 0.2954  4 Hg 3.01-3.35, 1 Bi 3.33
4 Tl 0.5000 0.0000 0.5000  4 Hg 3.16
5 Tl 0.6120 0.9074 0.0000  4 Hg 3.01-3.35, 1 Bi 3.33
6 Tl 0.9074 0.6120 0.0000  4 Hg 3.01-3.35, 1 Bi 3.33
7 Hg 0.1149 0.1149 0.3514  6 Tl 3.01-3.35, 2 Hg 3.22
8 Hg 0.2365 0.8851 0.0000  6 Tl 3.01-3.35, 2 Hg 3.22
9 Hg 0.7635 0.7635 0.6486  6 Tl 3.01-3.35, 2 Hg 3.22
10 Hg 0.8851 0.2365 0.0000  6 Tl 3.01-3.35, 2 Hg 3.22
11 Bi 0.5000 0.5000 0.0000  4 Tl 3.33

Summary:
As for the total moment: 0.00 μB/f.u. The value obtained for the energy of formation is 112 meV per atom. As for the space-group type: I-42m, No. 121. The energy above the lowest structure with this stoichiometry is 2.195 kcal/mol of atoms.

---

Entry 7:
An optimized crystal structure of Tl4Hg4Bi. Source: Alexandria, functional PBE.

a = 9.1261 Å, b = 9.1261 Å, c = 9.1261 Å
α = 92.01°, β = 92.01°, γ = 158.43°
With the nearest neighbours (Å) after each atom.
Element x y z (fractional)
1 Tl 0.1444 0.1821 0.3265  2 Bi 3.41, 4 Tl 3.42-3.61, 5 Hg 3.54-3.57
2 Tl 0.1821 0.8556 0.0378  2 Bi 3.41, 4 Tl 3.42-3.61, 5 Hg 3.54-3.57
3 Tl 0.8179 0.1444 0.9622  2 Bi 3.41, 4 Tl 3.42-3.61, 5 Hg 3.54-3.57
4 Tl 0.8556 0.8179 0.6735  2 Bi 3.41, 4 Tl 3.42-3.61, 5 Hg 3.54-3.57
5 Hg 0.1550 0.4623 0.6173  6 Hg 3.33-3.42, 5 Tl 3.54-3.57
6 Hg 0.4623 0.8450 0.3072  6 Hg 3.33-3.42, 5 Tl 3.54-3.57
7 Hg 0.5377 0.1550 0.6928  6 Hg 3.33-3.42, 5 Tl 3.54-3.57
8 Hg 0.8450 0.5377 0.3827  6 Hg 3.33-3.42, 5 Tl 3.54-3.57
9 Bi 0.5000 0.5000 0.0000  8 Tl 3.41, 2 Bi 3.42

Summary:
As for the total moment: 0.00 μB/f.u. The value obtained for the energy of formation is -16 meV per atom. As for the space-group type: I4/m, No. 87. The energy above the lowest structure with this stoichiometry is 0.000 kcal/mol of atoms.

---

Entry 8:
An optimized crystal structure of Tl2HgBi. Source: Alexandria, functional PBE.

a = 5.7554 Å, b = 5.7554 Å, c = 3.7074 Å
α = 90.00°, β = 90.00°, γ = 90.00°
With the nearest neighbours (Å) after each atom.
Element x y z (fractional)
1 Tl 0.0000 0.5000 0.0000  4 Hg 3.42, 4 Bi 3.42, 2 Tl 3.71
2 Tl 0.5000 0.0000 0.0000  4 Hg 3.42, 4 Bi 3.42, 2 Tl 3.71
3 Hg 0.0000 0.0000 0.5000  8 Tl 3.42, 2 Hg 3.71
4 Bi 0.5000 0.5000 0.5000  8 Tl 3.42, 2 Bi 3.71

Summary:
As for the total moment: 0.00 μB/f.u. The value obtained for the energy of formation is 19 meV per atom. As for the space-group type: P4/mmm, No. 123. The energy above the lowest structure with this stoichiometry is 1.339 kcal/mol of atoms.

---

Entry 9:
An optimized crystal structure of Tl8Hg6Bi. Source: Alexandria, functional PBE.

a = 8.1213 Å, b = 8.1213 Å, c = 8.1213 Å
α = 71.78°, β = 71.78°, γ = 71.78°
With the nearest neighbours (Å) after each atom.
Element x y z (fractional)
1 Tl 0.1171 0.3971 0.6586  4 Hg 3.10-3.35, 1 Bi 3.24, 1 Tl 3.38
2 Tl 0.2500 0.2500 0.2500  6 Hg 3.34-3.69, 6 Tl 3.50-3.61
3 Tl 0.3414 0.8829 0.6029  4 Hg 3.10-3.35, 1 Bi 3.24, 1 Tl 3.38
4 Tl 0.3971 0.6586 0.1171  4 Hg 3.10-3.35, 1 Bi 3.24, 1 Tl 3.38
5 Tl 0.6029 0.3414 0.8829  4 Hg 3.10-3.35, 1 Bi 3.24, 1 Tl 3.38
6 Tl 0.6586 0.1171 0.3971  4 Hg 3.10-3.35, 1 Bi 3.24, 1 Tl 3.38
7 Tl 0.7500 0.7500 0.7500  6 Hg 3.34-3.69, 6 Tl 3.50-3.61
8 Tl 0.8829 0.6029 0.3414  4 Hg 3.10-3.35, 1 Bi 3.24, 1 Tl 3.38
9 Hg 0.0873 0.8914 0.3451  5 Tl 3.10-3.35, 1 Hg 3.23
10 Hg 0.1086 0.6549 0.9127  5 Tl 3.10-3.35, 1 Hg 3.23
11 Hg 0.3451 0.0873 0.8914  5 Tl 3.10-3.35, 1 Hg 3.23
12 Hg 0.6549 0.9127 0.1086  5 Tl 3.10-3.35, 1 Hg 3.23
13 Hg 0.8914 0.3451 0.0873  5 Tl 3.10-3.35, 1 Hg 3.23
14 Hg 0.9127 0.1086 0.6549  5 Tl 3.10-3.35, 1 Hg 3.23
15 Bi 0.5000 0.5000 0.5000  6 Tl 3.24

Summary:
As for the total moment: 0.00 μB/f.u. The value obtained for the energy of formation is 24 meV per atom. As for the space-group type: R-3, No. 148.

---

Entry 10:
An optimized crystal structure of Tl8Hg3Bi2. Source: Alexandria, functional PBE.

a = 9.5336 Å, b = 9.5336 Å, c = 5.4433 Å
α = 90.00°, β = 90.00°, γ = 113.30°
With the nearest neighbours (Å) after each atom.
Element x y z (fractional)
1 Tl 0.1239 0.8761 0.0000  2 Bi 3.34, 4 Hg 3.36-3.42
2 Tl 0.1339 0.3791 0.5000  2 Bi 3.31-3.33, 3 Hg 3.32-3.35
3 Tl 0.3652 0.6348 0.0000  2 Hg 3.26, 2 Bi 3.32
4 Tl 0.3791 0.1339 0.5000  2 Bi 3.31-3.33, 3 Hg 3.32-3.35
5 Tl 0.6209 0.8661 0.5000  2 Bi 3.31-3.33, 3 Hg 3.32-3.35
6 Tl 0.6348 0.3652 0.0000  2 Hg 3.26, 2 Bi 3.32
7 Tl 0.8661 0.6209 0.5000  2 Bi 3.31-3.33, 3 Hg 3.32-3.35
8 Tl 0.8761 0.1239 0.0000  2 Bi 3.34, 4 Hg 3.36-3.42
9 Hg 0.0000 0.0000 0.5000  8 Tl 3.32-3.36
10 Hg 0.2661 0.2661 0.0000  8 Tl 3.26-3.42
11 Hg 0.7339 0.7339 0.0000  8 Tl 3.26-3.42
12 Bi 0.2455 0.7545 0.5000  8 Tl 3.31-3.34
13 Bi 0.7545 0.2455 0.5000  8 Tl 3.31-3.34

Summary:
As for the total moment: 0.00 μB/f.u. The value obtained for the energy of formation is 16 meV per atom. As for the space-group type: Cmmm, No. 65. The energy above the lowest structure with this stoichiometry is 0.000 kcal/mol of atoms.

---

Number 1: E -72.8 eV per cell. Number 2: E -6.7 eV per cell. Number 3: E -20.7 eV per cell. Number 4: E -6.5 eV per cell. Number 5: E -14.1 eV per cell. Number 6: E -18.0 eV per cell. Number 7: E -14.7 eV per cell. Number 8: E -8.8 eV per cell. Number 9: E -24.3 eV per cell. Number 10: E -27.4 eV per cell.